## SrYBeN2 (GGA-PBE)

Data for crystalline SrYBeN2 at its relaxed geometry.

Cell lengths 5.1940, 5.3562, 6.7060 Å; angles 90.00, 90.00, 90.00 degrees
With the nearest neighbours (Å) after each atom.
Space group Pccm (No. 49)
Asymmetric unit:
Sr  0.0000  0.0000  0.2500 [2 per cell]  4 N 2.72
Y  0.5000  0.5000  0.2500 [2 per cell]  4 N 2.35
Be  0.0000  0.5000  0.0000 [2 per cell]  2 N 1.55
N  0.2375  0.3260  0.0000 [4 per cell]  1 Be 1.55

Results
raw formation energy = -0.841 eV per atom
magnetic moment = 0.000 μB per cell
N(E_F) = 0.3448 states/eV/atom
total energy = -6.545 eV/atom